# Os2Ru

Os2Ru after structural relaxation (PBE-GGA, the Alexandria database).

Lattice parameters (Å, degrees): 5.9788 5.9788 5.9788 90.00 90.00 90.00
Element x y z (fractional)
Os: 0.1100 0.1100 0.1100
Os: 0.1100 0.3900 0.6100
Os: 0.3900 0.6100 0.1100
Os: 0.3900 0.8900 0.6100
Os: 0.6100 0.1100 0.3900
Os: 0.6100 0.3900 0.8900
Os: 0.8900 0.6100 0.3900
Os: 0.8900 0.8900 0.8900
Ru: 0.0000 0.0000 0.5000
Ru: 0.0000 0.5000 0.0000
Ru: 0.5000 0.0000 0.0000
Ru: 0.5000 0.5000 0.5000

Calculated values
Energy relative to the elements ... 3.88 eV/f.u.